DFT (PBE-GGA) results for CsNaSnAu after structural relaxation.

a b c (Å): 8.496 4.910 7.723
angles (deg): 90.00 111.61 90.00
Positions (direct):
Cs 0.000 0.000 0.000
Cs 0.500 0.500 0.000
Na 0.188 0.000 0.562
Na 0.688 0.500 0.562
Sn 0.292 0.500 0.376
Sn 0.792 0.000 0.376
Au 0.464 0.000 0.392
Au 0.964 0.500 0.392

As for the density: 5229 kg/m³. The calculation puts the raw total energy at -10.51 eV per formula unit. Its space group is No. 8. The value obtained for the formation energy is -0.2649 eV/atom.



DFT (PBE-GGA) results for ZrC after structural relaxation.

a b c (Å): 5.109 5.109 5.109
angles (deg): 90.00 90.00 90.00
Positions (direct):
Zr 0.000 0.000 0.000
Zr 0.000 0.500 0.500
Zr 0.500 0.000 0.500
Zr 0.500 0.500 0.000
C 0.250 0.250 0.250
C 0.250 0.750 0.750
C 0.750 0.250 0.750
C 0.750 0.750 0.250

The distance to the lowest polymorph of the same formula comes out at 613 meV/atom. As for the density: 5142 kg/m³. The calculation puts the raw total energy at -18.16 eV per formula unit. Its space group is No. 216. The value obtained for the formation energy is -0.1945 eV/atom.



DFT (PBE-GGA) results for Zn2HIr2 after structural relaxation.

a b c (Å): 3.560 3.560 12.994
angles (deg): 90.00 90.00 90.00
Positions (direct):
Zn 0.000 0.000 0.093
Zn 0.000 0.000 0.907
Zn 0.500 0.500 0.407
Zn 0.500 0.500 0.593
H 0.000 0.000 0.500
H 0.500 0.500 0.000
Ir 0.000 0.500 0.250
Ir 0.000 0.500 0.750
Ir 0.500 0.000 0.250
Ir 0.500 0.000 0.750

The distance to the lowest polymorph of the same formula comes out at 755 meV/atom. As for the density: 10414 kg/m³. The calculation puts the raw total energy at -20.13 eV per formula unit. Its space group is No. 139.



DFT (PBE-GGA) results for Ti2VIr after structural relaxation.

a b c (Å): 6.999 6.999 5.307
angles (deg): 90.00 90.00 90.00
Positions (direct):
Ti 0.234 0.250 0.125
Ti 0.250 0.734 0.375
Ti 0.250 0.766 0.875
Ti 0.266 0.250 0.625
Ti 0.734 0.750 0.625
Ti 0.750 0.234 0.875
Ti 0.750 0.266 0.375
Ti 0.766 0.750 0.125
V 0.000 0.000 0.500
V 0.000 0.500 0.750
V 0.500 0.000 0.250
V 0.500 0.500 0.000
Ir 0.000 0.000 0.000
Ir 0.000 0.500 0.250
Ir 0.500 0.000 0.750
Ir 0.500 0.500 0.500

The distance to the lowest polymorph of the same formula comes out at 581 meV/atom. As for the density: 8659 kg/m³. The calculation puts the raw total energy at -33.60 eV per formula unit. Its space group is No. 122. The value obtained for the formation energy is 0.0433 eV/atom.



DFT (PBE-GGA) results for HoNpFe after structural relaxation.

a b c (Å): 9.932 4.733 6.744
angles (deg): 90.00 130.12 90.00
Positions (direct):
Ho 0.090 0.000 0.361
Ho 0.410 0.500 0.639
Ho 0.590 0.500 0.361
Ho 0.910 0.000 0.639
Np 0.127 0.500 0.008
Np 0.373 0.000 0.992
Np 0.627 0.000 0.008
Np 0.873 0.500 0.992
Fe 0.152 0.500 0.718
Fe 0.348 0.000 0.282
Fe 0.652 0.000 0.718
Fe 0.848 0.500 0.282

As for the density: 12542 kg/m³. The calculation puts the raw total energy at -25.64 eV per formula unit. Its space group is No. 12. The value obtained for the formation energy is 0.1122 eV/atom.



DFT (PBE-GGA) results for TlCuGe after structural relaxation.

a b c (Å): 4.202 4.633 7.129
angles (deg): 88.42 88.63 88.43
Positions (direct):
Tl 0.249 0.260 0.149
Tl 0.751 0.740 0.851
Cu 0.244 0.648 0.499
Cu 0.756 0.352 0.501
Ge 0.258 0.140 0.628
Ge 0.742 0.860 0.372

As for the density: 8159 kg/m³. The calculation puts the raw total energy at -10.83 eV per formula unit. Its space group is No. 2. The value obtained for the formation energy is 0.0838 eV/atom.



DFT (PBE-GGA) results for La8Ni3RuCl4 after structural relaxation.

a b c (Å): 8.992 8.992 8.992
angles (deg): 54.51 54.51 54.51
Positions (direct):
La 0.234 0.234 0.234
La 0.237 0.733 0.733
La 0.267 0.267 0.763
La 0.267 0.763 0.267
La 0.733 0.237 0.733
La 0.733 0.733 0.237
La 0.763 0.267 0.267
La 0.766 0.766 0.766
Ni 0.000 0.000 0.500
Ni 0.000 0.500 0.000
Ni 0.500 0.000 0.000
Ru 0.500 0.500 0.500
Cl 0.000 0.000 0.000
Cl 0.000 0.500 0.500
Cl 0.500 0.000 0.500
Cl 0.500 0.500 0.000

As for the density: 5666 kg/m³. The calculation puts the raw total energy at -89.67 eV per formula unit. Its space group is No. 166. As for the energy relative to the elements, uncorrected: -1.02 eV/atom.



DFT (PBE-GGA) results for K2TbHoSe4 after structural relaxation.

a b c (Å): 7.297 4.214 8.057
angles (deg): 90.00 107.56 90.00
Positions (direct):
K 0.000 0.000 0.000
K 0.500 0.500 0.000
Tb 0.000 0.500 0.500
Ho 0.500 0.000 0.500
Se 0.237 0.000 0.706
Se 0.267 0.500 0.295
Se 0.733 0.500 0.705
Se 0.763 0.000 0.294

As for the density: 5047 kg/m³. The calculation puts the raw total energy at -39.45 eV per formula unit. Its space group is No. 10. As for the energy relative to the elements, uncorrected: -1.76 eV/atom.



DFT (PBE-GGA) results for Hf4SbAu after structural relaxation.

a b c (Å): 5.004 10.268 4.968
angles (deg): 90.00 92.10 90.00
Positions (direct):
Hf 0.000 0.163 0.000
Hf 0.000 0.336 0.500
Hf 0.000 0.664 0.500
Hf 0.000 0.837 0.000
Hf 0.500 0.164 0.500
Hf 0.500 0.337 0.000
Hf 0.500 0.663 0.000
Hf 0.500 0.836 0.500
Sb 0.000 0.500 0.000
Sb 0.500 0.000 0.000
Au 0.000 0.000 0.500
Au 0.500 0.500 0.500

As for the density: 13446 kg/m³. The calculation puts the raw total energy at -49.37 eV per formula unit. Its space group is No. 12. As for the energy relative to the elements, uncorrected: -0.36 eV/atom.



DFT (PBE-GGA) results for Hf2Cd2Co after structural relaxation.

a b c (Å): 6.479 6.479 5.080
angles (deg): 90.00 90.00 90.00
Positions (direct):
Hf 0.164 0.336 0.000
Hf 0.336 0.836 0.000
Hf 0.664 0.164 0.000
Hf 0.836 0.664 0.000
Cd 0.158 0.658 0.500
Cd 0.342 0.158 0.500
Cd 0.658 0.842 0.500
Cd 0.842 0.342 0.500
Co 0.000 0.000 0.000
Co 0.500 0.500 0.000

The distance to the lowest polymorph of the same formula comes out at 0 meV/atom. As for the density: 9979 kg/m³. The calculation puts the raw total energy at -27.39 eV per formula unit. Its space group is No. 127. The value obtained for the formation energy is 0.2909 eV/atom.



DFT (PBE-GGA) results for TaCrCd2 after structural relaxation.

a b c (Å): 2.981 2.981 29.539
angles (deg): 90.00 90.00 120.00
Positions (direct):
Ta 0.000 0.000 0.000
Ta 0.333 0.667 0.667
Ta 0.667 0.333 0.333
Cr 0.000 0.000 0.738
Cr 0.333 0.667 0.405
Cr 0.667 0.333 0.071
Cd 0.000 0.000 0.246
Cd 0.000 0.000 0.486
Cd 0.333 0.667 0.153
Cd 0.333 0.667 0.913
Cd 0.667 0.333 0.579
Cd 0.667 0.333 0.819

The distance to the lowest polymorph of the same formula comes out at 66 meV/atom. As for the density: 10030 kg/m³. The calculation puts the raw total energy at -21.90 eV per formula unit. Its space group is No. 160. The value obtained for the formation energy is 0.3514 eV/atom.



DFT (PBE-GGA) results for AcS after structural relaxation.

a b c (Å): 4.911 6.053 5.208
angles (deg): 90.00 117.34 90.00
Positions (direct):
Ac 0.161 0.250 0.315
Ac 0.839 0.750 0.685
S 0.163 0.750 0.322
S 0.837 0.250 0.678

The distance to the lowest polymorph of the same formula comes out at 254 meV/atom. As for the density: 6255 kg/m³. The calculation puts the raw total energy at -11.75 eV per formula unit. Its space group is No. 11. As for the energy relative to the elements, uncorrected: -1.76 eV/atom.